Entry from the Alexandria database: Ca4SbMo after structural relaxation (PBEsol).

The formation energy without anion corrections is 761 meV/atom. For the size of the total moment, the calculation gives 11.945 μB/cell.

Geometry as CIF:
```
data_Ca4SbMo
_symmetry_space_group_name_H-M 'F -4 3 m'
_symmetry_Int_Tables_number 216
_symmetry_space_group_name_Hall 'F -4 2 3'
_cell_length_a 8.822
_cell_length_b 8.822
_cell_length_c 8.822
_cell_angle_alpha 90.00
_cell_angle_beta 90.00
_cell_angle_gamma 90.00
loop_
_atom_site_label
_atom_site_fract_x
_atom_site_fract_y
_atom_site_fract_z
_atom_site_occupancy
Ca1 0.125 0.125 0.125 1
Sb1 0.000 0.000 0.500 1
Mo1 0.250 0.250 0.750 1
```